Entry 1:
First-principles (PBE) data for BaY2S after structural relaxation, as listed in Alexandria.

Summary:
Its total energy is -5.54 eV/atom. Its formation energy from raw total energies is -790 meV per atom.

Cell and atoms, written as extended XYZ:
```
4
Lattice="1.9199 1.1084 10.4215 -1.9199 1.1084 10.4215 0.0000 -2.2169 10.4215" Properties=species:S:1:pos:R:3 pbc="T T T"
Ba 0.0000 0.0000 0.0000
Y 0.0000 0.0000 3.6646
Y 0.0000 0.0000 27.5999
S 0.0000 0.0000 15.6322
```

=====

Entry 2:
First-principles (PBE) data for Ba2YS3 after structural relaxation, as listed in Alexandria.

Summary:
Its total energy is -5.69 eV/atom. Its formation energy from raw total energies is -1910 meV per atom.

Cell and atoms, written as extended XYZ:
```
6
Lattice="-2.1484 2.6083 8.3400 2.1484 -2.6083 8.3400 2.1484 2.6083 -8.3400" Properties=species:S:1:pos:R:3 pbc="T T T"
Ba 0.0000 0.0000 2.4945
Ba 0.0000 0.0000 14.1855
Y 0.0000 0.0000 8.3400
S 2.1484 0.0000 0.0000
S 0.0000 0.0000 5.6371
S 0.0000 0.0000 11.0430
```

=====

Entry 3:
First-principles (PBE) data for BaY4S6 after structural relaxation, as listed in Alexandria.

Summary:
Its total energy is -6.85 eV/atom. Its formation energy from raw total energies is -2071 meV per atom.

Cell and atoms, written as extended XYZ:
```
22
Lattice="1.9986 -6.5325 0.0000 1.9986 6.5325 0.0000 0.0000 0.0000 20.4914" Properties=species:S:1:pos:R:3 pbc="T T T"
Ba 1.9986 4.4661 15.3685
Ba 1.9986 -4.4661 5.1228
Y 1.9986 5.2823 2.5983
Y 1.9986 5.2823 7.6474
Y 1.9986 1.7938 0.8141
Y 1.9986 1.7938 9.4316
Y 1.9986 -1.7938 11.0597
Y 1.9986 -1.7938 19.6773
Y 1.9986 -5.2823 12.8439
Y 1.9986 -5.2823 17.8931
S 0.0000 0.0000 0.0000
S 0.0000 0.0000 10.2457
S 1.9986 4.4183 5.1228
S 1.9986 3.0189 11.9834
S 1.9986 3.0189 18.7536
S 1.9986 0.5130 3.1944
S 1.9986 0.5130 7.0513
S 1.9986 -0.5130 13.4400
S 1.9986 -0.5130 17.2970
S 1.9986 -3.0189 1.7377
S 1.9986 -3.0189 8.5080
S 1.9986 -4.4183 15.3685
```

=====

Entry 4:
First-principles (PBE) data for Ba3YS after structural relaxation, as listed in Alexandria.

Summary:
Its total energy is -3.79 eV/atom. Its formation energy from raw total energies is -518 meV per atom.

Cell and atoms, written as extended XYZ:
```
5
Lattice="6.1981 0.0000 0.0000 0.0000 6.1981 0.0000 0.0000 0.0000 6.1981" Properties=species:S:1:pos:R:3 pbc="T T T"
Ba 0.0000 0.0000 3.0991
Ba 0.0000 3.0991 0.0000
Ba 3.0991 0.0000 0.0000
Y 3.0991 3.0991 3.0991
S 0.0000 0.0000 0.0000
```